Run A
The following is a GGA-PBE calculation of PrDyZn2Sn2 after structural relaxation, from the Open Quantum Materials Database.

a = 4.5418 Å, b = 4.5418 Å, c = 16.3322 Å
α = 90.00°, β = 90.00°, γ = 120.00°
Closest atoms and distances in Å follow each position.
Space group P6_3/mmc (No. 194)
Symmetry-distinct sites (fractional):
Pr 0.0000 0.0000 0.0000 x2  6 Sn 3.27
Dy 0.0000 0.0000 0.2500 x2  6 Zn 2.98
Zn 0.3333 0.6667 0.1632 x4  3 Sn 2.72, 1 Zn 2.84, 3 Dy 2.98
Sn 0.3333 0.6667 0.6192 x4  3 Zn 2.72

Summary:
* crystal system: hexagonal
* M_tot: 0.00 μB/atom


Run B
The following is a GGA-PBE calculation of PrDyZn2Sn2 after structural relaxation, from the Open Quantum Materials Database.

a = 4.5682 Å, b = 4.5682 Å, c = 16.1646 Å
α = 90.00°, β = 90.00°, γ = 120.00°
Closest atoms and distances in Å follow each position.
Space group P6_3/mmc (No. 194)
Symmetry-distinct sites (fractional):
Pr 0.0000 0.0000 0.2500 x2  6 Zn 3.05
Dy 0.0000 0.0000 0.0000 x2  6 Sn 3.19
Zn 0.3333 0.6667 0.1550 x4  3 Sn 2.73, 3 Pr 3.05
Sn 0.3333 0.6667 0.6110 x4  3 Zn 2.73

Summary:
* crystal system: hexagonal
* M_tot: 0.00 μB/atom


Which one sits at the top of the stability order? run A does.


Run A
The following is a GGA-PBE calculation of Sm3Dy3Te2Pt after structural relaxation, from the Open Quantum Materials Database.

a = 8.4713 Å, b = 8.4713 Å, c = 4.0189 Å
α = 90.00°, β = 90.00°, γ = 120.00°
Closest atoms and distances in Å follow each position.
Space group P-62m (No. 189)
Symmetry-distinct sites (fractional):
Sm 0.0000 0.5945 0.0000 x3  4 Te 3.26, 1 Pt 3.44, 6 Dy 3.60-3.61
Dy 0.0000 0.2424 0.5000 x3  2 Pt 2.87
Te 0.3333 0.6667 0.5000 x2  6 Sm 3.26, 3 Dy 3.28
Pt 0.0000 0.0000 0.0000 x1  6 Dy 2.87

Summary:
* crystal system: hexagonal
* M_tot: 0.00 μB/atom


Run B
The following is a GGA-PBE calculation of Sm3Dy3Te2Pt after structural relaxation, from the Open Quantum Materials Database.

a = 8.5585 Å, b = 8.5585 Å, c = 3.9485 Å
α = 90.00°, β = 90.00°, γ = 120.00°
Closest atoms and distances in Å follow each position.
Space group P-62m (No. 189)
Symmetry-distinct sites (fractional):
Sm 0.0000 0.2490 0.0000 x3  2 Pt 2.90
Dy 0.0000 0.5963 0.5000 x3  4 Te 3.27, 1 Pt 3.46, 6 Sm 3.57-3.61
Te 0.3333 0.6667 0.0000 x2  6 Dy 3.27, 3 Sm 3.27
Pt 0.0000 0.0000 0.5000 x1  6 Sm 2.90

Summary:
* crystal system: hexagonal
* M_tot: 0.00 μB/atom


Which one sits at the top of the stability order? run A does.


Run A
The following is a GGA-PBE calculation of DyTaPt after structural relaxation, from the Open Quantum Materials Database.

a = 6.5267 Å, b = 6.5267 Å, c = 6.5267 Å
α = 90.00°, β = 90.00°, γ = 90.00°
Closest atoms and distances in Å follow each position.
Space group F-43m (No. 216)
Symmetry-distinct sites (fractional):
Dy 0.0000 0.0000 0.0000 x4  4 Pt 2.83
Ta 0.0000 0.0000 0.5000 x4  4 Pt 2.83
Pt 0.2500 0.2500 0.2500 x4  4 Ta 2.83, 4 Dy 2.83

Summary:
* crystal system: cubic
* M_tot: 0.00 μB/atom


Run B
The following is a GGA-PBE calculation of DyTaPt after structural relaxation, from the Open Quantum Materials Database.

a = 6.5229 Å, b = 6.5229 Å, c = 6.5229 Å
α = 90.00°, β = 90.00°, γ = 90.00°
Closest atoms and distances in Å follow each position.
Space group F-43m (No. 216)
Symmetry-distinct sites (fractional):
Dy 0.0000 0.0000 0.0000 x4  4 Ta 2.82, 4 Pt 2.82
Ta 0.2500 0.2500 0.2500 x4  4 Dy 2.82
Pt 0.2500 0.2500 0.7500 x4  4 Dy 2.82

Summary:
* crystal system: cubic
* M_tot: 0.52 μB/atom


Which one sits at the top of the stability order? run A does.


Run A
The following is a GGA-PBE calculation of Dy3Y3Te2Pt after structural relaxation, from the Open Quantum Materials Database.

a = 8.4335 Å, b = 8.4335 Å, c = 3.9516 Å
α = 90.00°, β = 90.00°, γ = 120.00°
Closest atoms and distances in Å follow each position.
Space group P-62m (No. 189)
Symmetry-distinct sites (fractional):
Dy 0.0000 0.7542 0.0000 x3  2 Pt 2.86
Y 0.0000 0.4014 0.5000 x3  4 Te 3.24, 1 Pt 3.39, 6 Dy 3.56-3.57
Te 0.3333 0.6667 0.0000 x2  6 Y 3.24, 3 Dy 3.24
Pt 0.0000 0.0000 0.5000 x1  6 Dy 2.86

Summary:
* crystal system: hexagonal
* M_tot: 0.09 μB/atom


Run B
The following is a GGA-PBE calculation of Dy3Y3Te2Pt after structural relaxation, from the Open Quantum Materials Database.

a = 8.4364 Å, b = 8.4364 Å, c = 3.9530 Å
α = 90.00°, β = 90.00°, γ = 120.00°
Closest atoms and distances in Å follow each position.
Space group P-62m (No. 189)
Symmetry-distinct sites (fractional):
Dy 0.0000 0.4014 0.0000 x3  4 Te 3.24, 1 Pt 3.39, 6 Y 3.56-3.57
Y 0.0000 0.7536 0.5000 x3  2 Pt 2.87
Te 0.3333 0.6667 0.5000 x2  3 Y 3.24, 6 Dy 3.24
Pt 0.0000 0.0000 0.0000 x1  6 Y 2.87

Summary:
* crystal system: hexagonal
* M_tot: 0.09 μB/atom


Which one sits at the top of the stability order? run A does.


Run A
The following is a GGA-PBE calculation of RbDySnSe3 after structural relaxation, from the Open Quantum Materials Database.

a = 15.9944 Å, b = 4.1955 Å, c = 12.1111 Å
α = 90.00°, β = 90.00°, γ = 90.00°
Closest atoms and distances in Å follow each position.
Space group Pnma (No. 62)
Symmetry-distinct sites (fractional):
Rb 0.2325 0.2500 0.0819 x4  5 Se 3.44-3.65, 1 Sn 3.74
Dy 0.0048 0.7500 0.6447 x4  6 Se 2.82-2.94
Sn 0.0388 0.2500 0.9094 x4  3 Se 2.67-2.78
Se 0.0866 0.7500 0.2358 x4  1 Sn 2.67, 2 Dy 2.94
Se 0.0996 0.2500 0.5430 x4  3 Dy 2.82-2.87
Se 0.1310 0.7500 0.8211 x4  2 Sn 2.78, 1 Dy 2.94

Summary:
* crystal system: orthorhombic
* M_tot: 0.00 μB/atom


Run B
The following is a GGA-PBE calculation of RbDySnSe3 after structural relaxation, from the Open Quantum Materials Database.

a = 4.1200 Å, b = 16.9524 Å, c = 11.9380 Å
α = 90.00°, β = 90.00°, γ = 90.00°
Closest atoms and distances in Å follow each position.
Space group Cmcm (No. 63)
Symmetry-distinct sites (fractional):
Rb 0.0000 0.1911 0.2500 x4  2 Se 3.32
Dy 0.0000 0.5000 0.0000 x4  6 Se 2.84-2.98
Sn 0.0000 0.1109 0.7500 x4  4 Se 2.78-2.91
Se 0.0000 0.1153 0.5066 x8  2 Dy 2.84, 1 Sn 2.91
Se 0.0000 0.4993 0.2500 x4  2 Sn 2.78, 2 Dy 2.98

Summary:
* crystal system: orthorhombic
* M_tot: 0.00 μB/atom


Which one sits at the top of the stability order? run A does.


Run A
The following is a GGA-PBE calculation of RbSrDy after structural relaxation, from the Open Quantum Materials Database.

a = 9.1656 Å, b = 9.1656 Å, c = 9.1656 Å
α = 90.00°, β = 90.00°, γ = 90.00°
Closest atoms and distances in Å follow each position.
Space group F-43m (No. 216)
Symmetry-distinct sites (fractional):
Rb 0.0000 0.0000 0.0000 x4  4 Dy 3.97
Sr 0.0000 0.0000 0.5000 x4  4 Dy 3.97
Dy 0.2500 0.2500 0.2500 x4  4 Rb 3.97, 4 Sr 3.97

Summary:
* crystal system: cubic
* M_tot: 0.00 μB/atom


Run B
The following is a GGA-PBE calculation of RbSrDy after structural relaxation, from the Open Quantum Materials Database.

a = 8.9342 Å, b = 8.9342 Å, c = 8.9342 Å
α = 90.00°, β = 90.00°, γ = 90.00°
Closest atoms and distances in Å follow each position.
Space group F-43m (No. 216)
Symmetry-distinct sites (fractional):
Rb 0.0000 0.0000 0.0000 x4  4 Dy 3.87, 4 Sr 3.87
Sr 0.2500 0.2500 0.2500 x4  4 Rb 3.87
Dy 0.2500 0.2500 0.7500 x4  4 Rb 3.87

Summary:
* crystal system: cubic
* M_tot: 0.33 μB/atom


Which one sits at the top of the stability order? run A does.


Run A
The following is a GGA-PBE calculation of DyScRe after structural relaxation, from the Open Quantum Materials Database.

a = 6.5568 Å, b = 6.5568 Å, c = 6.5568 Å
α = 90.00°, β = 90.00°, γ = 90.00°
Closest atoms and distances in Å follow each position.
Space group F-43m (No. 216)
Symmetry-distinct sites (fractional):
Dy 0.0000 0.0000 0.0000 x4  4 Re 2.84, 4 Sc 2.84
Sc 0.2500 0.2500 0.2500 x4  4 Dy 2.84
Re 0.2500 0.2500 0.7500 x4  4 Dy 2.84

Summary:
* crystal system: cubic
* M_tot: 0.02 μB/atom


Run B
The following is a GGA-PBE calculation of DyScRe after structural relaxation, from the Open Quantum Materials Database.

a = 6.5211 Å, b = 6.5211 Å, c = 6.5211 Å
α = 90.00°, β = 90.00°, γ = 90.00°
Closest atoms and distances in Å follow each position.
Space group F-43m (No. 216)
Symmetry-distinct sites (fractional):
Dy 0.0000 0.0000 0.0000 x4  4 Sc 2.82
Sc 0.2500 0.2500 0.2500 x4  4 Dy 2.82, 4 Re 2.82
Re 0.0000 0.0000 0.5000 x4  4 Sc 2.82

Summary:
* crystal system: cubic
* M_tot: 0.00 μB/atom


Which one sits at the top of the stability order? run B does.


Run A
The following is a GGA-PBE calculation of Dy3Sc3ReTe2 after structural relaxation, from the Open Quantum Materials Database.

a = 7.9120 Å, b = 7.9120 Å, c = 4.0813 Å
α = 90.00°, β = 90.00°, γ = 120.00°
Closest atoms and distances in Å follow each position.
Space group P-62m (No. 189)
Symmetry-distinct sites (fractional):
Dy 0.0000 0.3903 0.0000 x3  1 Re 3.09, 4 Te 3.18, 4 Sc 3.37
Sc 0.0000 0.7704 0.5000 x3  2 Re 2.73
Re 0.0000 0.0000 0.0000 x1  6 Sc 2.73
Te 0.3333 0.6667 0.5000 x2  3 Sc 3.13, 6 Dy 3.18

Summary:
* crystal system: hexagonal
* M_tot: 0.00 μB/atom


Run B
The following is a GGA-PBE calculation of Dy3Sc3ReTe2 after structural relaxation, from the Open Quantum Materials Database.

a = 8.0793 Å, b = 8.0793 Å, c = 3.9766 Å
α = 90.00°, β = 90.00°, γ = 120.00°
Closest atoms and distances in Å follow each position.
Space group P-62m (No. 189)
Symmetry-distinct sites (fractional):
Dy 0.0000 0.7545 0.0000 x3  2 Re 2.81, 2 Te 3.11
Sc 0.0000 0.3849 0.5000 x3  1 Re 3.11, 4 Te 3.20, 4 Dy 3.37
Re 0.0000 0.0000 0.5000 x1  6 Dy 2.81, 3 Sc 3.11
Te 0.3333 0.6667 0.0000 x2  3 Dy 3.11, 6 Sc 3.20

Summary:
* crystal system: hexagonal
* M_tot: 0.01 μB/atom


Which one sits at the top of the stability order? run A does.


Run A
The following is a GGA-PBE calculation of DyReTe after structural relaxation, from the Open Quantum Materials Database.

a = 6.8067 Å, b = 6.8067 Å, c = 6.8067 Å
α = 90.00°, β = 90.00°, γ = 90.00°
Closest atoms and distances in Å follow each position.
Space group F-43m (No. 216)
Symmetry-distinct sites (fractional):
Dy 0.0000 0.0000 0.0000 x4  4 Re 2.95, 4 Te 2.95
Re 0.2500 0.2500 0.7500 x4  4 Dy 2.95
Te 0.2500 0.2500 0.2500 x4  4 Dy 2.95

Summary:
* crystal system: cubic
* M_tot: 0.02 μB/atom


Run B
The following is a GGA-PBE calculation of DyReTe after structural relaxation, from the Open Quantum Materials Database.

a = 6.6376 Å, b = 6.6376 Å, c = 6.6376 Å
α = 90.00°, β = 90.00°, γ = 90.00°
Closest atoms and distances in Å follow each position.
Space group F-43m (No. 216)
Symmetry-distinct sites (fractional):
Dy 0.0000 0.0000 0.0000 x4  4 Te 2.87
Re 0.0000 0.0000 0.5000 x4  4 Te 2.87
Te 0.2500 0.2500 0.2500 x4  4 Dy 2.87, 4 Re 2.87

Summary:
* crystal system: cubic
* M_tot: 0.54 μB/atom


Which one sits at the top of the stability order? run B does.


Run A
The following is a GGA-PBE calculation of Dy3Tm3ReTe2 after structural relaxation, from the Open Quantum Materials Database.

a = 8.1971 Å, b = 8.1971 Å, c = 4.1428 Å
α = 90.00°, β = 90.00°, γ = 120.00°
Closest atoms and distances in Å follow each position.
Space group P-62m (No. 189)
Symmetry-distinct sites (fractional):
Dy 0.0000 0.3882 0.0000 x3  1 Re 3.18, 4 Te 3.28, 4 Tm 3.46
Tm 0.0000 0.7647 0.5000 x3  2 Re 2.83
Re 0.0000 0.0000 0.0000 x1  6 Tm 2.83
Te 0.3333 0.6667 0.5000 x2  3 Tm 3.21, 6 Dy 3.28

Summary:
* crystal system: hexagonal
* M_tot: 0.01 μB/atom


Run B
The following is a GGA-PBE calculation of Dy3Tm3ReTe2 after structural relaxation, from the Open Quantum Materials Database.

a = 8.2298 Å, b = 8.2298 Å, c = 4.1174 Å
α = 90.00°, β = 90.00°, γ = 120.00°
Closest atoms and distances in Å follow each position.
Space group P-62m (No. 189)
Symmetry-distinct sites (fractional):
Dy 0.0000 0.7594 0.0000 x3  2 Re 2.86, 2 Te 3.19
Tm 0.0000 0.3847 0.5000 x3  1 Re 3.17, 4 Te 3.28, 4 Dy 3.45
Re 0.0000 0.0000 0.5000 x1  6 Dy 2.86, 3 Tm 3.17
Te 0.3333 0.6667 0.0000 x2  3 Dy 3.19, 6 Tm 3.28

Summary:
* crystal system: hexagonal
* M_tot: 0.01 μB/atom


Which one sits at the top of the stability order? run A does.


Run A
The following is a GGA-PBE calculation of Dy2SeS after structural relaxation, from the Open Quantum Materials Database.

a = 3.9450 Å, b = 3.9678 Å, c = 11.9733 Å
α = 90.00°, β = 98.29°, γ = 90.00°
Closest atoms and distances in Å follow each position.
Space group P2_1/m (No. 11)
Symmetry-distinct sites (fractional):
Dy 0.0982 0.2500 0.1617 x2  1 S 2.67, 4 Se 2.82
Dy 0.3031 0.2500 0.6198 x2  5 S 2.76-2.80, 1 Se 2.96
Se 0.4152 0.2500 0.8696 x2  5 Dy 2.82-2.96
S 0.2007 0.2500 0.3869 x2  6 Dy 2.67-2.80

Summary:
* crystal system: monoclinic
* M_tot: 0.00 μB/atom


Run B
The following is a GGA-PBE calculation of Dy2SeS after structural relaxation, from the Open Quantum Materials Database.

a = 4.0032 Å, b = 3.9801 Å, c = 11.2885 Å
α = 90.00°, β = 90.00°, γ = 90.00°
Closest atoms and distances in Å follow each position.
Space group Pmc2_1 (No. 26)
Symmetry-distinct sites (fractional):
Dy 0.0000 0.0034 0.0000 x2  2 Se 2.82, 4 S 2.82
Dy 0.5000 0.4967 0.2507 x2  4 Se 2.82, 2 S 2.82
Se 0.0000 0.0038 0.7501 x2  6 Dy 2.82
S 0.5000 0.4965 0.5007 x2  6 Dy 2.82

Summary:
* crystal system: orthorhombic
* M_tot: 0.00 μB/atom


Which one sits at the top of the stability order? run B does.